<one>
# BrCl, optimized geometry, DFT PBE
data_BrCl
_cell_length_a 12.2280
_cell_length_b 12.2280
_cell_length_c 4.5738
_cell_angle_alpha 90.00
_cell_angle_beta 90.00
_cell_angle_gamma 90.00
_symmetry_space_group_name_H-M 'P 1'
_symmetry_Int_Tables_number 1
loop_
_symmetry_equiv_pos_as_xyz
'x,y,z'
loop_
_atom_site_label
_atom_site_fract_x
_atom_site_fract_y
_atom_site_fract_z
Br1 0.6861 0.5937 0.5000
Br2 0.3139 0.4063 0.5000
Br3 0.4063 0.6861 0.5000
Br4 0.5937 0.3139 0.5000
Br5 0.8402 0.8674 0.0000
Br6 0.1598 0.1326 0.0000
Br7 0.1326 0.8402 0.0000
Br8 0.8674 0.1598 0.0000
Cl1 0.5813 0.7675 0.5000
Cl2 0.4187 0.2325 0.5000
Cl3 0.2325 0.5813 0.5000
Cl4 0.7675 0.4187 0.5000
Cl5 0.0257 0.2780 0.0000
Cl6 0.9743 0.7220 0.0000
Cl7 0.7220 0.0257 0.0000
Cl8 0.2780 0.9743 0.0000
# symmetry: P4/m (83)

***

<two>
# BrCl, optimized geometry, DFT PBE
data_BrCl
_cell_length_a 9.3562
_cell_length_b 9.3562
_cell_length_c 4.6542
_cell_angle_alpha 90.00
_cell_angle_beta 90.00
_cell_angle_gamma 90.00
_symmetry_space_group_name_H-M 'P 1'
_symmetry_Int_Tables_number 1
loop_
_symmetry_equiv_pos_as_xyz
'x,y,z'
loop_
_atom_site_label
_atom_site_fract_x
_atom_site_fract_y
_atom_site_fract_z
Br1 0.2746 0.2746 0.0000
Br2 0.7746 0.2254 0.5000
Br3 0.2254 0.7746 0.5000
Br4 0.7254 0.7254 0.0000
Cl1 0.2763 0.7237 0.0000
Cl2 0.7763 0.7763 0.5000
Cl3 0.2237 0.2237 0.5000
Cl4 0.7237 0.2763 0.0000
# symmetry: P4_2/mnm (136)

***

<three>
# BrCl, optimized geometry, DFT PBE
data_BrCl
_cell_length_a 8.6733
_cell_length_b 5.2694
_cell_length_c 4.3217
_cell_angle_alpha 65.79
_cell_angle_beta 75.57
_cell_angle_gamma 65.21
_symmetry_space_group_name_H-M 'P 1'
_symmetry_Int_Tables_number 1
loop_
_symmetry_equiv_pos_as_xyz
'x,y,z'
loop_
_atom_site_label
_atom_site_fract_x
_atom_site_fract_y
_atom_site_fract_z
Br1 0.9620 0.0448 0.9966
Br2 0.9546 0.5386 0.7534
Cl1 0.4766 0.5744 0.4745
Cl2 0.4400 0.0089 0.2755
# symmetry: C2/m (12)

***

Winner for stability: <one>